Entry 1:
Here is an optimized crystal structure of DyMn2Al8 from Alexandria via LeMat-Bulk. Energies are from PBE-GGA.

Cell lengths 6.6644, 6.6644, 4.6651 Å; angles 97.94, 97.94, 103.23 degrees
Atoms (fractional coordinates):
Dy  0.0000  0.0000  0.0000
Mn  0.2900  0.7100  0.5000
Mn  0.7100  0.2900  0.5000
Al  0.0918  0.3527  0.5987
Al  0.2842  0.7158  0.0000
Al  0.3527  0.0918  0.5987
Al  0.3906  0.3906  0.2372
Al  0.6094  0.6094  0.7628
Al  0.6473  0.9082  0.4013
Al  0.7158  0.2842  0.0000
Al  0.9082  0.6473  0.4013

formation energy from the elements: -0.0771 eV/atom

Entry 2:
Here is an optimized crystal structure of As2SeIF from Alexandria via LeMat-Bulk. Energies are from PBE-GGA.

Cell lengths 4.3168, 4.3168, 6.6732 Å; angles 90.00, 90.00, 90.00 degrees
Atoms (fractional coordinates):
As  0.0000  0.5000  0.0000
As  0.5000  0.0000  0.0000
Se  0.0000  0.0000  0.5000
I  0.5000  0.5000  0.5000
F  0.0000  0.0000  0.0000

uncorrected formation energy: 0.437 eV per atom

Entry 3:
Here is an optimized crystal structure of TbMgAgCl6 from Alexandria via LeMat-Bulk. Energies are from PBE-GGA.

Cell lengths 6.6523, 6.6523, 12.2011 Å; angles 90.00, 90.00, 120.00 degrees
Atoms (fractional coordinates):
Tb  0.3333  0.6667  0.2500
Tb  0.6667  0.3333  0.7500
Mg  0.3333  0.6667  0.7500
Mg  0.6667  0.3333  0.2500
Ag  0.0000  0.0000  0.0000
Ag  0.0000  0.0000  0.5000
Cl  0.0156  0.3599  0.6313
Cl  0.0156  0.6556  0.8687
Cl  0.3444  0.3599  0.8687
Cl  0.3444  0.9844  0.6313
Cl  0.3599  0.0156  0.1313
Cl  0.3599  0.3444  0.3687
Cl  0.6401  0.6556  0.6313
Cl  0.6401  0.9844  0.8687
Cl  0.6556  0.0156  0.3687
Cl  0.6556  0.6401  0.1313
Cl  0.9844  0.3444  0.1313
Cl  0.9844  0.6401  0.3687

uncorrected formation energy: -1.711 eV per atom

Entry 4:
Here is an optimized crystal structure of SrHf3Sc from Alexandria via LeMat-Bulk. Energies are from PBE-GGA.

Cell lengths 5.1401, 5.1401, 5.1401 Å; angles 90.00, 90.00, 90.00 degrees
Atoms (fractional coordinates):
Sr  0.0000  0.0000  0.0000
Hf  0.0000  0.0000  0.5000
Hf  0.0000  0.5000  0.0000
Hf  0.5000  0.0000  0.0000
Sc  0.5000  0.5000  0.5000

formation energy from the elements: 1.8263 eV/atom

Entry 5:
Here is an optimized crystal structure of LaSeS2 from Alexandria via LeMat-Bulk. Energies are from PBE-GGA.

Cell lengths 11.7585, 11.7585, 11.7585 Å; angles 159.12, 159.12, 29.70 degrees
Atoms (fractional coordinates):
La  0.0000  0.0000  0.0000
La  0.7500  0.2500  0.5000
Se  0.2500  0.7500  0.5000
Se  0.5000  0.5000  0.0000
S  0.3750  0.2312  0.3562
S  0.7688  0.1250  0.1438
S  0.8750  0.0188  0.6438
S  0.9812  0.6250  0.8562

uncorrected formation energy: -1.044 eV per atom

Entry 6:
Here is an optimized crystal structure of LuScAlAg from Alexandria via LeMat-Bulk. Energies are from PBE-GGA.

Cell lengths 4.9480, 4.9480, 4.9480 Å; angles 60.00, 60.00, 60.00 degrees
Atoms (fractional coordinates):
Lu  0.0000  0.0000  0.0000
Sc  0.5000  0.5000  0.5000
Al  0.2500  0.2500  0.2500
Ag  0.7500  0.7500  0.7500

formation energy from the elements: -0.3478 eV/atom

| no. | calculated total energy (eV/f.u.) | size of the total moment (Bohr magnetons per cell) |
| --- | --- | --- |
| 1 | -53.7 | 1.8 |
| 2 | -14.0 | 0.0 |
| 3 | -35.6 | 0.0 |
| 4 | -28.7 | 0.0 |
| 5 | -20.8 | 0.0 |
| 6 | -18.8 | 0.0 |